ZnCoNi2O5 | PBE with a Hubbard U | relaxed

Lattice parameters (Å, degrees): 3.4835 5.2013 6.0037 115.67 106.86 90.00
Site moments in Bohr magnetons follow the coordinates.
Fractional coordinates of all 9 atoms:
Co: 0.5000 0.0000 0.0000  1.07
Zn: 0.0000 0.5000 0.0000  0.02
O: 0.3650 0.6145 0.7300  0.04
O: 0.6350 0.3855 0.2700  0.04
O: 0.3650 0.1155 0.7300  0.04
O: 0.6350 0.8845 0.2700  0.04
O: 0.0000 0.0000 0.0000  0.14
Ni: 0.2007 0.2007 0.4013  1.79
Ni: 0.7993 0.7993 0.5987  1.79

Energy: -40.825 eV/cell
Space-group type: Immm, No. 71
Total magnetization: 5.1 μB/f.u.